Entry 1:
VASP calculation (PBE) on a relaxed structure of Al2Se.

It has space group P6_3/mmc (No. 194), with a = 4.9114 Å, b = 4.9114 Å, c = 5.5282 Å, α = 90.00°, β = 90.00° and γ = 120.00°. The inequivalent atoms are Al at (0.0000, 0.0000, 0.0000), Al at (0.3333, 0.6667, 0.2500) and Se at (0.3333, 0.6667, 0.7500).

The calculation puts the total energy at -3.580 eV per atom. The theoretical density comes out at 3.8 g/cm3. The crystal system is hexagonal. The calculation puts the energy relative to the elements, uncorrected at 0.076 eV/atom.


Entry 2:
VASP calculation (PBE) on a relaxed structure of AlSe2.

It has space group I4/mmm (No. 139), with a = 3.3153 Å, b = 3.3153 Å, c = 11.0248 Å, α = 90.00°, β = 90.00° and γ = 90.00°. The inequivalent atoms are Al at (0.0000, 0.0000, 0.0000) and Se at (0.0000, 0.0000, 0.3661).

The calculation puts the total energy at -3.611 eV per atom. The theoretical density comes out at 5.1 g/cm3. The crystal system is tetragonal. The calculation puts the energy relative to the elements, uncorrected at -0.041 eV/atom.


> The highest energy relative to the elements, uncorrected belongs to which entry?

Al2Se


> theoretical density of number 2 (AlSe2)?

5.1 g/cm3